Record 1
This record from the Alexandria database describes a relaxed KZnIn2Pd crystal. The functional is PBE.

Calculated values
Density = 5.26 g cm⁻³
DOS(E_F) = 2.78 states/eV/f.u.
Formation enthalpy at 0 K = -0.16 eV/atom

Cell: 5.237 5.237 5.069 Å, 90.00 90.00 90.00°
Atoms (fractional coordinates):
Zn: 0.000 0.000 0.500
K: 0.500 0.500 0.500
Pd: 0.000 0.000 0.000
In: 0.000 0.500 0.000
In: 0.500 0.000 0.000

=====

Record 2
This record from the Alexandria database describes a relaxed Pm2Nd5Tm3 crystal. The functional is PBE.

Calculated values
Density = 7.36 g cm⁻³
DOS(E_F) = 18.02 states/eV/f.u.
Excess energy over the best structure of this formula in the dataset = 0 meV per atom
Formation enthalpy at 0 K = 0.18 eV/atom

Cell: 9.876 9.920 11.235 Å, 127.96 127.88 66.73°
Atoms (fractional coordinates):
Pm: 0.786 0.027 0.758
Pm: 0.214 0.973 0.242
Pm: 0.472 0.731 0.758
Pm: 0.528 0.269 0.242
Nd: 0.279 0.529 0.058
Nd: 0.721 0.471 0.942
Nd: 0.021 0.771 0.542
Nd: 0.518 0.268 0.536
Nd: 0.979 0.229 0.458
Nd: 0.482 0.732 0.464
Nd: 0.874 0.619 0.763
Nd: 0.126 0.381 0.237
Nd: 0.388 0.144 0.763
Nd: 0.612 0.856 0.237
Tm: 0.227 0.977 0.955
Tm: 0.773 0.023 0.045
Tm: 0.728 0.464 0.243
Tm: 0.272 0.536 0.757
Tm: 0.015 0.780 0.243
Tm: 0.985 0.220 0.757

=====

Record 3
This record from the Alexandria database describes a relaxed NaSr2LiMn crystal. The functional is PBE.

Calculated values
Density = 2.22 g cm⁻³
DOS(E_F) = 3.75 states/eV/f.u.
Formation enthalpy at 0 K = 0.74 eV/atom

Cell: 6.390 4.763 6.390 Å, 90.00 90.00 90.00°
Last column: magnetic moment on the atom in μB.
Atoms (fractional coordinates):
Sr: 0.000 0.000 0.500  -0.04
Sr: 0.500 0.000 0.000  -0.03
Mn: 0.500 0.500 0.500  4.31
Li: 0.000 0.500 0.000  -0.03
Na: 0.000 0.000 0.000  0.00

=====

Record 4
This record from the Alexandria database describes a relaxed Ca2YBr crystal. The functional is PBE.

Calculated values
Density = 3.01 g cm⁻³
DOS(E_F) = 4.58 states/eV/f.u.
Excess energy over the best structure of this formula in the dataset = 400 meV per atom
Formation energy from raw total energies = -0.96 eV per formula unit

Cell: 3.738 6.476 7.188 Å, 52.15 90.00 90.00°
Atoms (fractional coordinates):
Y: 0.500 0.500 0.500
Ca: 0.000 0.000 0.000
Ca: 0.500 0.500 0.000
Br: 0.000 0.000 0.500

=====

Record 5
This record from the Alexandria database describes a relaxed ZnBi2Pd2 crystal. The functional is PBE.

Calculated values
Density = 10.30 g cm⁻³
DOS(E_F) = 1.68 states/eV/f.u.
Excess energy over the best structure of this formula in the dataset = 163 meV per atom
Formation enthalpy at 0 K = -0.03 eV/atom

Cell: 8.088 8.088 3.430 Å, 90.00 90.00 90.00°
Atoms (fractional coordinates):
Zn: 0.000 0.000 0.000
Zn: 0.500 0.500 0.000
Bi: 0.331 0.831 0.000
Bi: 0.831 0.669 0.000
Bi: 0.669 0.169 0.000
Bi: 0.169 0.331 0.000
Pd: 0.125 0.625 0.500
Pd: 0.625 0.875 0.500
Pd: 0.875 0.375 0.500
Pd: 0.375 0.125 0.500

=====

Record 6
This record from the Alexandria database describes a relaxed BaMoAs crystal. The functional is PBE.

Calculated values
Density = 5.86 g cm⁻³
DOS(E_F) = 2.89 states/eV/f.u.
Excess energy over the best structure of this formula in the dataset = 0 meV per atom
Formation enthalpy at 0 K = -0.47 eV/atom

Cell: 4.045 4.045 10.677 Å, 90.00 90.00 90.00°
Atoms (fractional coordinates):
As: 0.500 0.000 0.654
As: 0.000 0.500 0.346
Ba: 0.500 0.000 0.194
Ba: 0.000 0.500 0.806
Mo: 0.500 0.500 0.500
Mo: 0.000 0.000 0.500

=====

> What is the density in the third record?

2.22 g cm⁻³

=====

> What is the density in the first record?

5.26 g cm⁻³

=====

> DOS(E_F) of number 3 (NaSr2LiMn)?

3.75 states/eV/f.u.

=====

> Which of these has the highest density?

ZnBi2Pd2